Record 1
Computed, not measured: a geometry-optimized Mg2ScW structure at the GGA-PBEsol level of DFT.

The structure in POSCAR format:
```
Mg2ScW
1.0
2.844 0.055 0.000
-0.888 5.254 0.000
-0.978 -2.655 5.017
Sc Mg W
1 2 1
direct
0.000 0.500 0.000
0.000 0.000 0.500
0.500 0.500 0.500
0.500 0.000 0.000
```

## Properties
Distance to the lowest polymorph of the same formula = 29 meV/atom
Fermi-level density of states = 3.4 states/eV per cell
Formation enthalpy at 0 K = 0.39 eV/atom
Symmetry = C2/m (12)

---

Record 2
Computed, not measured: a geometry-optimized ScRe3Sb structure at the GGA-PBEsol level of DFT.

The structure in POSCAR format:
```
ScRe3Sb
1.0
-3.504 0.157 3.006
0.217 -4.588 0.492
3.002 0.514 3.473
Sb Re Sc
1 3 1
direct
0.500 0.500 0.500
0.000 0.000 0.500
0.000 0.500 0.000
0.500 0.000 0.000
0.000 0.000 0.000
```

## Properties
Fermi-level density of states = 5.3 states/eV per cell
Symmetry = Pm-3m (221)
Total energy = -7.817 eV per atom

---

Record 3
Computed, not measured: a geometry-optimized ZnCr2Ni structure at the GGA-PBEsol level of DFT.

The structure in POSCAR format:
```
ZnCr2Ni
1.0
2.445 -0.002 0.000
-0.691 2.346 0.000
0.000 0.000 7.937
Cr Zn Ni
2 1 1
direct
0.500 0.500 0.744
0.000 0.000 0.989
0.500 0.500 0.258
0.000 0.000 0.509
```

## Properties
Fermi-level density of states = 3.0 states/eV per cell
Formation enthalpy at 0 K = 0.05 eV/atom
Symmetry = Cmm2 (35)

---

Record 4
Computed, not measured: a geometry-optimized SnSbCl3 structure at the GGA-PBEsol level of DFT.

The structure in POSCAR format:
```
SnSbCl3
1.0
5.337 0.000 0.000
0.000 5.337 0.000
0.000 0.000 5.337
Sn Cl Sb
1 3 1
direct
0.000 0.000 0.000
0.000 0.500 0.000
0.500 0.000 0.000
0.000 0.000 0.500
0.500 0.500 0.500
```

## Properties
Fermi-level density of states = 5.7 states/eV per cell
Symmetry = Pm-3m (221)
Total energy = -3.161 eV per atom

---

Record 5
Computed, not measured: a geometry-optimized Mn2P2O9 structure at the GGA-PBEsol level of DFT.

The structure in POSCAR format:
```
Mn2P2O9
1.0
6.079 0.000 0.000
0.000 7.520 0.000
0.000 0.000 13.555
O Mn P
36 8 8
direct
0.042 0.560 0.631
0.948 0.845 0.371
0.750 0.235 0.248
0.750 0.145 0.035
0.542 0.060 0.869
0.750 0.542 0.214
0.250 0.645 0.465
0.250 0.502 0.988
0.250 0.765 0.752
0.750 0.958 0.714
0.458 0.560 0.631
0.250 0.042 0.286
0.542 0.440 0.369
0.052 0.155 0.629
0.948 0.655 0.871
0.448 0.345 0.129
0.042 0.940 0.131
0.552 0.655 0.871
0.552 0.845 0.371
0.458 0.940 0.131
0.958 0.440 0.369
0.448 0.155 0.629
0.250 0.735 0.252
0.052 0.345 0.129
0.750 0.265 0.748
0.750 0.498 0.012
0.250 0.335 0.503
0.250 0.165 0.003
0.750 0.355 0.535
0.250 0.855 0.965
0.750 0.835 0.997
0.750 0.665 0.497
0.250 0.458 0.786
0.750 0.002 0.512
0.958 0.060 0.869
0.250 0.998 0.488
0.000 0.500 0.500
0.000 0.000 0.000
0.250 0.652 0.876
0.500 0.500 0.500
0.750 0.348 0.124
0.500 0.000 0.000
0.750 0.152 0.624
0.250 0.848 0.376
0.250 0.352 0.061
0.250 0.916 0.195
0.750 0.648 0.939
0.750 0.084 0.805
0.750 0.416 0.305
0.750 0.852 0.439
0.250 0.584 0.695
0.250 0.148 0.561
```

## Properties
Symmetry = Pnma (62)
Total energy = -7.883 eV per atom

---

Record 6
Computed, not measured: a geometry-optimized Cu2SbPt structure at the GGA-PBEsol level of DFT.

The structure in POSCAR format:
```
Cu2SbPt
1.0
3.392 0.000 0.000
0.000 3.392 0.000
0.000 0.000 5.315
Cu Pt Sb
2 1 1
direct
0.500 0.500 0.236
0.000 0.000 0.024
0.000 0.000 0.496
0.500 0.500 0.744
```

## Properties
Fermi-level density of states = 1.5 states/eV per cell
Symmetry = P4mm (99)
Total energy = -5.083 eV per atom

---

Record 7
Computed, not measured: a geometry-optimized Sc2Co structure at the GGA-PBEsol level of DFT.

The structure in POSCAR format:
```
Sc2Co
1.0
8.353 0.000 0.000
4.177 7.234 0.000
4.177 2.411 6.820
Sc Co
16 8
direct
0.938 0.562 0.938
0.938 0.562 0.562
0.312 0.688 0.312
0.625 0.125 0.125
0.562 0.562 0.938
0.562 0.938 0.562
0.938 0.938 0.562
0.688 0.688 0.312
0.312 0.688 0.688
0.562 0.938 0.938
0.125 0.125 0.625
0.125 0.625 0.125
0.125 0.125 0.125
0.688 0.312 0.312
0.312 0.312 0.688
0.688 0.312 0.688
0.335 0.994 0.335
0.335 0.335 0.335
0.915 0.256 0.915
0.915 0.915 0.256
0.994 0.335 0.335
0.335 0.335 0.994
0.915 0.915 0.915
0.256 0.915 0.915
```

## Properties
Fermi-level density of states = 27.4 states/eV per cell
Formation enthalpy at 0 K = -0.23 eV/atom
Symmetry = Fd-3m (227)

---

Record 8
Computed, not measured: a geometry-optimized As2OsW structure at the GGA-PBEsol level of DFT.

The structure in POSCAR format:
```
As2OsW
1.0
3.067 0.000 0.000
0.000 4.346 0.000
0.000 0.000 4.346
As Os W
2 1 1
direct
0.000 0.000 0.500
0.000 0.500 0.000
0.500 0.500 0.500
0.500 0.000 0.000
```

## Properties
Distance to the lowest polymorph of the same formula = 0 meV/atom
Fermi-level density of states = 1.9 states/eV per cell
Formation enthalpy at 0 K = 0.22 eV/atom
Symmetry = P4/mmm (123)